# Pt4W3

An optimized crystal structure of Pt4W3 (GGA-PBE, Alexandria).

POSCAR file:
```
Pt4W3
1.0
-1.679 1.679 9.860
1.679 -1.679 9.860
1.679 1.679 -9.860
Pt W
4 3
direct
0.857 0.857 0.000
0.570 0.570 0.000
0.430 0.430 0.000
0.143 0.143 0.000
0.000 0.000 0.000
0.711 0.711 0.000
0.289 0.289 0.000
```

E: -63.986 eV/cell
Crystal system: tetragonal

---

# TaAuS2N

An optimized crystal structure of TaAuS2N (GGA-PBE, Alexandria).

POSCAR file:
```
TaAuS2N
1.0
4.903 0.000 0.000
0.000 4.903 0.000
0.000 0.000 3.730
S N Au Ta
2 1 1 1
direct
0.000 0.500 0.000
0.500 0.000 0.000
0.000 0.000 0.500
0.000 0.000 0.000
0.500 0.500 0.500
```

E: -24.423 eV/cell
Crystal system: tetragonal
Uncorrected formation energy: 1.4574 eV per atom

---

# Bi3IrS

An optimized crystal structure of Bi3IrS (GGA-PBE, Alexandria).

POSCAR file:
```
Bi3IrS
1.0
-0.443 -4.532 -2.806
5.157 0.348 -1.375
1.348 -2.819 4.340
S Ir Bi
1 1 3
direct
0.500 0.500 0.500
0.000 0.000 0.000
0.000 0.500 0.000
0.000 0.000 0.500
0.500 0.000 0.000
```

E: -21.547 eV/cell
Crystal system: cubic
Uncorrected formation energy: 0.6168 eV per atom

---

# Tl3VBi

An optimized crystal structure of Tl3VBi (GGA-PBE, Alexandria).

POSCAR file:
```
Tl3VBi
1.0
-3.388 -2.979 3.034
3.453 -4.192 -0.260
2.482 1.765 4.504
Tl Bi V
3 1 1
direct
0.000 0.500 0.000
0.000 0.000 0.500
0.500 0.000 0.000
0.500 0.500 0.500
0.000 0.000 0.000
```

E: -17.268 eV/cell
Crystal system: cubic

---

# Nd3Pd5O12

An optimized crystal structure of Nd3Pd5O12 (GGA-PBE, Alexandria).

POSCAR file:
```
Nd3Pd5O12
1.0
11.321 0.000 0.000
-3.774 10.674 0.000
-3.774 -5.337 9.244
Nd O Pd
12 48 20
direct
0.750 0.375 0.125
0.875 0.750 0.125
0.375 0.750 0.625
0.250 0.125 0.375
0.875 0.125 0.250
0.375 0.625 0.250
0.625 0.375 0.750
0.125 0.875 0.750
0.750 0.875 0.625
0.625 0.250 0.375
0.125 0.250 0.875
0.250 0.625 0.875
0.704 0.126 0.037
0.333 0.537 0.412
0.963 0.374 0.296
0.537 0.204 0.126
0.579 0.704 0.667
0.963 0.588 0.167
0.333 0.796 0.421
0.088 0.921 0.126
0.588 0.963 0.667
0.704 0.579 0.167
0.796 0.463 0.374
0.833 0.912 0.037
0.126 0.704 0.537
0.374 0.412 0.079
0.079 0.912 0.374
0.421 0.126 0.588
0.079 0.167 0.204
0.463 0.667 0.088
0.833 0.921 0.296
0.126 0.421 0.088
0.374 0.963 0.796
0.588 0.626 0.421
0.912 0.833 0.537
0.796 0.333 0.921
0.412 0.374 0.579
0.088 0.167 0.463
0.204 0.667 0.079
0.167 0.079 0.704
0.626 0.037 0.204
0.874 0.579 0.912
0.537 0.333 0.912
0.579 0.874 0.412
0.921 0.833 0.796
0.921 0.088 0.626
0.874 0.296 0.463
0.167 0.088 0.963
0.626 0.588 0.921
0.412 0.037 0.333
0.296 0.421 0.833
0.204 0.537 0.626
0.912 0.079 0.874
0.667 0.204 0.579
0.463 0.796 0.874
0.037 0.412 0.833
0.421 0.296 0.333
0.037 0.626 0.704
0.667 0.463 0.588
0.296 0.874 0.963
0.125 0.375 0.250
0.000 0.500 0.000
0.000 0.000 0.000
0.375 0.250 0.125
0.500 0.000 0.500
0.500 0.500 0.000
0.125 0.750 0.375
0.750 0.125 0.875
0.750 0.625 0.375
0.375 0.125 0.750
0.625 0.875 0.250
0.500 0.500 0.500
0.500 0.000 0.000
0.000 0.000 0.500
0.250 0.375 0.625
0.250 0.875 0.125
0.000 0.500 0.500
0.875 0.250 0.625
0.625 0.750 0.875
0.875 0.625 0.750
```

E: -504.454 eV/cell
Crystal system: cubic
Uncorrected formation energy: -1.3174 eV per atom

---

# HoInPt

An optimized crystal structure of HoInPt (GGA-PBE, Alexandria).

POSCAR file:
```
HoInPt
1.0
7.731 0.000 0.000
0.000 4.172 0.000
0.000 0.000 4.172
Ho In Pt
2 2 2
direct
0.857 0.000 0.500
0.143 0.500 0.000
0.500 0.000 0.000
0.500 0.500 0.500
0.226 0.000 0.500
0.774 0.500 0.000
```

E: -32.035 eV/cell
Crystal system: tetragonal

---

# Na2La2S

An optimized crystal structure of Na2La2S (GGA-PBE, Alexandria).

POSCAR file:
```
Na2La2S
1.0
7.515 0.000 0.000
0.000 7.515 0.000
0.000 0.000 6.524
Na S La
4 2 4
direct
0.157 0.657 0.500
0.657 0.843 0.500
0.843 0.343 0.500
0.343 0.157 0.500
0.000 0.000 0.000
0.500 0.500 0.000
0.340 0.840 0.000
0.840 0.660 0.000
0.660 0.160 0.000
0.160 0.340 0.000
```

E: -38.113 eV/cell
Crystal system: tetragonal
Uncorrected formation energy: -0.4873 eV per atom

---

# AlZnPb2

An optimized crystal structure of AlZnPb2 (GGA-PBE, Alexandria).

POSCAR file:
```
AlZnPb2
1.0
-1.509 -4.073 -4.352
0.659 -5.948 1.411
-2.770 5.341 1.269
Pb Zn Al
2 1 1
direct
0.019 0.019 0.000
0.727 0.227 0.500
0.474 0.474 0.000
0.280 0.780 0.500
```

E: -11.692 eV/cell
Crystal system: orthorhombic

---

What did the sixth record say?
# HoInPt

An optimized crystal structure of HoInPt (GGA-PBE, Alexandria).

POSCAR file:
```
HoInPt
1.0
7.731 0.000 0.000
0.000 4.172 0.000
0.000 0.000 4.172
Ho In Pt
2 2 2
direct
0.857 0.000 0.500
0.143 0.500 0.000
0.500 0.000 0.000
0.500 0.500 0.500
0.226 0.000 0.500
0.774 0.500 0.000
```

E: -32.035 eV/cell
Crystal system: tetragonal

---

Repeat the fourth record exactly.
# Tl3VBi

An optimized crystal structure of Tl3VBi (GGA-PBE, Alexandria).

POSCAR file:
```
Tl3VBi
1.0
-3.388 -2.979 3.034
3.453 -4.192 -0.260
2.482 1.765 4.504
Tl Bi V
3 1 1
direct
0.000 0.500 0.000
0.000 0.000 0.500
0.500 0.000 0.000
0.500 0.500 0.500
0.000 0.000 0.000
```

E: -17.268 eV/cell
Crystal system: cubic